Below is crystalline AlNi2O at its relaxed geometry, with properties calculated at the PBE+U level.

Cell and atoms, written as POSCAR:
```
AlNi2O
1.0
0.000 2.767 2.767
2.767 0.000 2.767
2.767 2.767 0.000
Al Ni O
1 2 1
Direct
0.500 0.500 0.500
0.250 0.250 0.250
0.750 0.750 0.750
0.000 0.000 0.000
```

Values from the calculation:
E_tot: -2.85 eV per atom
D(E_F): 0.86 states/eV/atom
distance to the lowest polymorph of the same formula: 479.9 meV/atom